No. 1
Computed, not measured: a relaxed structure of Y2Er2Ni at the PBE level of DFT.

abc: 5.3192 5.3192 10.7852
angles: 90.00 90.00 120.00
Space group P6_3/mmc (No. 194)
One atom of each set of equivalent atoms:
Y (0.3333, 0.6667, 0.0970) [4 per cell]
Er (0.0000, 0.0000, 0.0000) [2 per cell]
Er (0.3333, 0.6667, 0.7500) [2 per cell]
Ni (0.0000, 0.0000, 0.2500) [2 per cell]

No. 2
Computed, not measured: a relaxed structure of YErZn4Ni2 at the PBE level of DFT.

abc: 7.0684 4.9859 11.1352
angles: 90.00 90.00 90.00
Space group Amm2 (No. 38)
One atom of each set of equivalent atoms:
Y (0.0000, 0.0000, 0.0000) [2 per cell]
Er (0.0000, 0.0000, 0.3072) [2 per cell]
Zn (0.3275, 0.0000, 0.5069) [4 per cell]
Zn (0.3289, 0.0000, 0.7724) [4 per cell]
Ni (0.0000, 0.0000, 0.5500) [2 per cell]
Ni (0.0000, 0.0000, 0.7585) [2 per cell]

No. 3
Computed, not measured: a relaxed structure of YErZnNi2 at the PBE level of DFT.

abc: 4.2243 5.3643 8.0260
angles: 90.00 90.00 90.00
Space group Imm2 (No. 44)
One atom of each set of equivalent atoms:
Y (0.0000, 0.0000, 0.0000) [2 per cell]
Er (0.0000, 0.0000, 0.4078) [2 per cell]
Zn (0.0000, 0.5000, 0.2037) [2 per cell]
Ni (0.0000, 0.2715, 0.7034) [4 per cell]

No. 4
Computed, not measured: a relaxed structure of Er2Zn5Ni5 at the PBE level of DFT.

abc: 4.0610 5.0662 8.6865
angles: 90.00 90.00 90.00
Space group Pmmm (No. 47)
One atom of each set of equivalent atoms:
Er (0.0000, 0.0000, 0.0000) [1 per cell]
Er (0.0000, 0.5000, 0.5000) [1 per cell]
Zn (0.5000, 0.0000, 0.5000) [1 per cell]
Zn (0.5000, 0.2518, 0.2440) [4 per cell]
Ni (0.0000, 0.0000, 0.3327) [2 per cell]
Ni (0.0000, 0.5000, 0.1614) [2 per cell]
Ni (0.5000, 0.5000, 0.0000) [1 per cell]

No. 5
Computed, not measured: a relaxed structure of Er6ZnNi2 at the PBE level of DFT.

abc: 9.1779 9.4286 9.8409
angles: 90.00 90.00 90.00
Space group Immm (No. 71)
One atom of each set of equivalent atoms:
Er (0.0000, 0.1932, 0.2386) [8 per cell]
Er (0.1935, 0.5000, 0.1743) [8 per cell]
Er (0.2183, 0.3198, 0.5000) [8 per cell]
Zn (0.0000, 0.0000, 0.0000) [2 per cell]
Zn (0.0000, 0.0000, 0.5000) [2 per cell]
Ni (0.0000, 0.3464, 0.0000) [4 per cell]
Ni (0.0000, 0.5000, 0.3793) [4 per cell]

No. 6
Computed, not measured: a relaxed structure of ErZrNi4 at the PBE level of DFT.

abc: 7.0548 7.0548 7.0548
angles: 90.00 90.00 90.00
Space group F-43m (No. 216)
One atom of each set of equivalent atoms:
Er (0.0000, 0.0000, 0.0000) [4 per cell]
Zr (0.2500, 0.2500, 0.2500) [4 per cell]
Ni (0.1249, 0.1249, 0.6249) [16 per cell]

No. 7
Computed, not measured: a relaxed structure of ErZrNi at the PBE level of DFT.

Energy above the lowest structure with this stoichiometry, meV per atom: 0

abc: 6.4231 6.4231 6.4231
angles: 90.00 90.00 90.00
Space group F-43m (No. 216)
One atom of each set of equivalent atoms:
Er (0.0000, 0.0000, 0.0000) [4 per cell]
Zr (0.0000, 0.0000, 0.5000) [4 per cell]
Ni (0.2500, 0.2500, 0.2500) [4 per cell]

No. 8
Computed, not measured: a relaxed structure of Er2Zr2Ni at the PBE level of DFT.

abc: 4.9822 4.9822 10.4026
angles: 90.00 90.00 120.00
Space group P6_3/mmc (No. 194)
One atom of each set of equivalent atoms:
Er (0.3333, 0.6667, 0.0924) [4 per cell]
Zr (0.0000, 0.0000, 0.0000) [2 per cell]
Zr (0.3333, 0.6667, 0.7500) [2 per cell]
Ni (0.0000, 0.0000, 0.2500) [2 per cell]

In the order shown, the computed VASP energy values come out to -55.08, -52.85, -51.64, -48.14, -170.49, -151.75, -74.90, -62.61 eV per cell.